This record from Alexandria via LeMat-Bulk describes KY2TaMn after structural relaxation. The functional is PBE.

```
KY2TaMn
1.0
5.2560 0.0000 0.0000
0.0000 5.2560 0.0000
0.0000 0.0000 4.2112
K Y Ta Mn
1 2 1 1
direct
0.0000 0.0000 0.0000
0.0000 0.5000 0.0000
0.5000 0.0000 0.0000
0.5000 0.5000 0.5000
0.0000 0.0000 0.5000
```

**Calculated total energy**: -4.998 eV/atom
**Calculated formation energy**: 2.0117 eV per atom
**Symmetry**: P4/mmm (123)